{
  "formula": "TbBeSi2Ru2",
  "functional": "PBE",
  "state": "relaxed",
  "final_energy_ev_per_cell": -41.37,
  "total_magnetization_mub_per_cell": 0.0,
  "formation_energy_uncorrected_ev_per_atom": -0.6030,
  "space_group": "P4/mmm",
  "lattice_angstrom": [[-0.2646, 4.1959, 0.0808], [-3.0168, -0.1340, -2.9262], [-3.6345, -0.3016, 3.7609]],
  "species": ["Tb", "Be", "Si", "Si", "Ru", "Ru"],
  "fractional_positions": [[0.0000, 0.0000, 0.5000], [0.0000, 0.0000, 0.0000], [0.5000, 0.5000, 0.7345], [0.5000, 0.5000, 0.2655], [0.5000, 0.0000, 0.0000], [0.0000, 0.5000, 0.0000]]
}